Record 1
Below is crystalline ZrNiW2 at its relaxed geometry, with properties calculated at the PBE level.

Cell: 4.604 3.784 3.784 Å, 90.00 90.00 90.00°
Element x y z (fractional)
Zr 0.500 0.500 0.000
W 0.000 0.000 0.000
Ni 0.500 0.000 0.500
W 0.000 0.500 0.500

Computed properties:
Its formation enthalpy at 0 K is 0.1425 eV per atom. The polymorph energy (0 for the lowest one) comes out at 0.43 eV/f.u. The value obtained for the theoretical density is 13.0 g/cm3. As for the magnetization: 0.00 μB/cell.



Record 2
Below is crystalline NaCuAsBr2 at its relaxed geometry, with properties calculated at the PBE level.

Cell: 5.401 5.401 4.610 Å, 90.00 90.00 90.00°
Element x y z (fractional)
Br 0.000 0.500 0.000
As 0.000 0.000 0.500
Na 0.500 0.500 0.500
Br 0.500 0.000 0.000
Cu 0.000 0.000 0.000

Computed properties:
The polymorph energy (0 for the lowest one) comes out at 0.00 eV/f.u. The value obtained for the theoretical density is 4.0 g/cm3. As for the magnetization: 1.25 μB/cell.



Record 3
Below is crystalline TbTm5Ag6 at its relaxed geometry, with properties calculated at the PBE level.

Cell: 5.118 7.127 8.083 Å, 90.00 71.54 89.99°
Element x y z (fractional)
Ag 0.832 0.748 0.337
Tm 0.334 0.500 0.332
Ag 0.168 0.252 0.663
Tm 0.000 0.500 0.000
Ag 0.500 0.254 0.000
Tb 0.000 0.000 0.000
Tm 0.333 0.000 0.334
Ag 0.500 0.746 0.000
Tm 0.666 0.500 0.668
Tm 0.667 0.000 0.666
Ag 0.168 0.748 0.663
Ag 0.832 0.252 0.337

Computed properties:
Its formation enthalpy at 0 K is -0.3373 eV per atom. The value obtained for the theoretical density is 9.8 g/cm3. As for the magnetization: 0.00 μB/cell.



What is the magnetization in the second record?
1.25 μB/cell



Which value of theoretical density does entry 1 give?
13.0 g/cm3



Copy entry 2 word for word.
Below is crystalline NaCuAsBr2 at its relaxed geometry, with properties calculated at the PBE level.

Cell: 5.401 5.401 4.610 Å, 90.00 90.00 90.00°
Element x y z (fractional)
Br 0.000 0.500 0.000
As 0.000 0.000 0.500
Na 0.500 0.500 0.500
Br 0.500 0.000 0.000
Cu 0.000 0.000 0.000

Computed properties:
The polymorph energy (0 for the lowest one) comes out at 0.00 eV/f.u. The value obtained for the theoretical density is 4.0 g/cm3. As for the magnetization: 1.25 μB/cell.